[1]
Material: CsCa2YZr
Method: DFT, GGA-PBE
State: optimized geometry

The calculation puts the theoretical density at 2.85 Mg/m³. The calculation puts the formation enthalpy at 0 K at 143.58 kJ per mole of atoms. As for the density of states at the Fermi level: 1.513 states/eV per atom. The size of the total moment is 1.2 μB/cell.

The structure belongs to space group P4/mmm (No. 123); the cell edges are 6.148, 6.148 and 6.050 Å and the angles 90.00°, 90.00° and 90.00°. The asymmetric unit holds Cs at (0.000, 0.000, 0.000), Ca at (0.000, 0.500, 0.500), Y at (0.000, 0.000, 0.500) and Zr at (0.500, 0.500, 0.000).

***

[2]
Material: Ba2YSc
Method: DFT, GGA-PBE
State: optimized geometry

The calculation puts the theoretical density at 4.27 Mg/m³. The calculation puts the formation enthalpy at 0 K at 36.14 kJ per mole of atoms. As for the density of states at the Fermi level: 1.579 states/eV per atom. The size of the total moment is 0.0 μB/cell.

The structure belongs to space group Immm (No. 71); the cell edges are 4.099, 6.016 and 12.884 Å and the angles 90.00°, 90.00° and 90.00°. The asymmetric unit holds Ba at (0.000, 0.000, 0.222), Y at (0.000, 0.500, 0.000) and Sc at (0.000, 0.500, 0.500).

***

[3]
Material: Hf8CrSb2
Method: DFT, GGA-PBE
State: optimized geometry

The calculation puts the theoretical density at 12.09 Mg/m³. Its raw formation energy is -0.024 eV per atom. As for the density of states at the Fermi level: 0.952 states/eV per atom. The size of the total moment is 0.0 μB/cell.

The structure belongs to space group C2/m (No. 12); the cell edges are 16.629, 4.903 and 6.111 Å and the angles 90.00°, 108.23° and 90.00°. The asymmetric unit holds Hf at (0.012, 0.000, 0.249), Hf at (0.096, 0.500, 0.758), Hf at (0.142, 0.500, 0.303), Hf at (0.214, 0.000, 0.118), Cr at (0.000, 0.500, 0.000) and Sb at (0.172, 0.000, 0.615).

***

[4]
Material: VGa2Co3
Method: DFT, GGA-PBE
State: optimized geometry

The calculation puts the theoretical density at 8.54 Mg/m³. The calculation puts the formation enthalpy at 0 K at -23.34 kJ per mole of atoms. As for the density of states at the Fermi level: 0.792 states/eV per atom. The size of the total moment is 0.4 μB/cell.

The structure belongs to space group P4/mmm (No. 123); the cell edges are 2.730, 2.730 and 9.574 Å and the angles 90.00°, 90.00° and 90.00°. The asymmetric unit holds V at (0.000, 0.000, 0.000), Ga at (0.000, 0.000, 0.335), Co at (0.500, 0.500, 0.170) and Co at (0.500, 0.500, 0.500).

***

[5]
Material: Th3ZrSc6
Method: DFT, GGA-PBE
State: optimized geometry

The calculation puts the theoretical density at 6.24 Mg/m³. The calculation puts the formation enthalpy at 0 K at 39.41 kJ per mole of atoms. As for the density of states at the Fermi level: 1.918 states/eV per atom. The size of the total moment is 0.0 μB/cell.

The structure belongs to space group R-3 (No. 148, hexagonal axes); the cell edges are 9.2244, 9.2244 and 11.4582 Å and the angles 90.00°, 90.00° and 120.00°. The asymmetric unit holds Th at (0.0000, 0.0000, 0.0000), Th at (0.0000, 0.0000, 0.2596), Zr at (0.0000, 0.0000, 0.5000) and Sc at (0.0024, 0.3253, 0.5745).

***

[6]
Material: RbAlInS4
Method: DFT, GGA-PBE
State: optimized geometry

The calculation puts the theoretical density at 2.97 Mg/m³. Its raw formation energy is -0.774 eV per atom. As for the density of states at the Fermi level: 0.372 states/eV per atom. The size of the total moment is 0.0 μB/cell.

The structure belongs to space group P2_1/m (No. 11); the cell edges are 6.474, 6.395 and 9.895 Å and the angles 90.00°, 104.21° and 90.00°. The asymmetric unit holds Rb at (0.241, 0.250, 0.059), Al at (0.211, 0.750, 0.313), In at (0.286, 0.250, 0.667), S at (0.028, 0.515, 0.708), S at (0.381, 0.750, 0.139) and S at (0.495, 0.750, 0.509).